# BaHfN2 (PBE, relaxed)
# E_tot ... -67.3 eV for the cell shown
# ΔE_f (raw) ... -1.2831 eV/atom
data_BaHfN2
_chemical_formula_sum 'Ba2 Hf2 N4'
_space_group_name_H-M_alt 'P 1'
_space_group_IT_number 1
_space_group_name_Hall 'P 1'
_cell_length_a 5.985
_cell_length_b 5.985
_cell_length_c 6.093
_cell_angle_alpha 60.59
_cell_angle_beta 60.59
_cell_angle_gamma 90.00
loop_
_atom_site_label
_atom_site_type_symbol
_atom_site_fract_x
_atom_site_fract_y
_atom_site_fract_z
Ba1 Ba 0.250 0.750 0.500
Ba2 Ba 0.500 0.500 0.000
N1 N 0.375 0.277 0.750
N2 N 0.027 0.625 0.250
N3 N 0.875 0.973 0.750
N4 N 0.723 0.125 0.250
Hf1 Hf 0.750 0.250 0.500
Hf2 Hf 0.000 0.000 0.000



# Ba5Hf2N6 (PBE, relaxed)
# E_tot ... -182.8 eV for the cell shown
# ΔE_f (raw) ... -0.9171 eV/atom
data_Ba5Hf2N6
_chemical_formula_sum 'Ba10 Hf4 N12'
_space_group_name_H-M_alt 'P 1'
_space_group_IT_number 1
_space_group_name_Hall 'P 1'
_cell_length_a 6.756
_cell_length_b 7.462
_cell_length_c 14.974
_cell_angle_alpha 90.00
_cell_angle_beta 95.36
_cell_angle_gamma 123.52
loop_
_atom_site_label
_atom_site_type_symbol
_atom_site_fract_x
_atom_site_fract_y
_atom_site_fract_z
Ba1 Ba 0.078 0.770 0.979
Ba2 Ba 0.690 0.894 0.294
Ba3 Ba 0.310 0.106 0.706
Ba4 Ba 0.000 0.407 0.750
Ba5 Ba 0.922 0.692 0.521
Ba6 Ba 0.690 0.796 0.794
Ba7 Ba 0.310 0.204 0.206
Ba8 Ba 0.922 0.230 0.021
Ba9 Ba 0.000 0.593 0.250
Ba10 Ba 0.078 0.308 0.479
Hf1 Hf 0.552 0.648 0.077
Hf2 Hf 0.448 0.096 0.423
Hf3 Hf 0.448 0.352 0.923
Hf4 Hf 0.552 0.904 0.577
N1 N 0.119 0.037 0.379
N2 N 0.292 0.745 0.662
N3 N 0.881 0.918 0.121
N4 N 0.601 0.203 0.556
N5 N 0.292 0.547 0.162
N6 N 0.119 0.082 0.879
N7 N 0.881 0.963 0.621
N8 N 0.601 0.398 0.056
N9 N 0.399 0.602 0.944
N10 N 0.708 0.255 0.338
N11 N 0.399 0.797 0.444
N12 N 0.708 0.453 0.838



# BaHf2NbN (PBE, relaxed)
# E_tot ... -31.0 eV for the cell shown
# ΔE_f (raw) ... 1.8494 eV/atom
data_BaHf2NbN
_chemical_formula_sum 'Ba1 Hf2 Nb1 N1'
_space_group_name_H-M_alt 'P 1'
_space_group_IT_number 1
_space_group_name_Hall 'P 1'
_cell_length_a 4.956
_cell_length_b 6.251
_cell_length_c 4.956
_cell_angle_alpha 90.00
_cell_angle_beta 90.00
_cell_angle_gamma 90.00
loop_
_atom_site_label
_atom_site_type_symbol
_atom_site_fract_x
_atom_site_fract_y
_atom_site_fract_z
Hf1 Hf 0.500 0.000 0.000
Hf2 Hf 0.000 0.000 0.500
Ba1 Ba 0.000 0.500 0.000
N1 N 0.500 0.500 0.500
Nb1 Nb 0.000 0.000 0.000



# Ba3HfP2N6 (PBE, relaxed)
# E_tot ... -87.8 eV for the cell shown
# ΔE_f (raw) ... -0.9401 eV/atom
data_Ba3HfP2N6
_chemical_formula_sum 'Ba3 Hf1 P2 N6'
_space_group_name_H-M_alt 'P 1'
_space_group_IT_number 1
_space_group_name_Hall 'P 1'
_cell_length_a 5.836
_cell_length_b 5.836
_cell_length_c 7.115
_cell_angle_alpha 90.00
_cell_angle_beta 90.00
_cell_angle_gamma 120.00
loop_
_atom_site_label
_atom_site_type_symbol
_atom_site_fract_x
_atom_site_fract_y
_atom_site_fract_z
N1 N 0.177 0.823 0.318
N2 N 0.823 0.646 0.682
N3 N 0.823 0.177 0.682
N4 N 0.177 0.354 0.318
N5 N 0.354 0.177 0.682
N6 N 0.646 0.823 0.318
P1 P 0.667 0.333 0.743
P2 P 0.333 0.667 0.257
Ba1 Ba 0.333 0.667 0.686
Ba2 Ba 0.667 0.333 0.314
Ba3 Ba 0.000 0.000 0.000
Hf1 Hf 0.000 0.000 0.500



# BaHfPaN3 (PBE, relaxed)
# E_tot ... -107.0 eV for the cell shown
# ΔE_f (raw) ... -1.1923 eV/atom
data_BaHfPaN3
_chemical_formula_sum 'Ba2 Hf2 Pa2 N6'
_space_group_name_H-M_alt 'P 1'
_space_group_IT_number 1
_space_group_name_Hall 'P 1'
_cell_length_a 3.467
_cell_length_b 6.873
_cell_length_c 10.509
_cell_angle_alpha 98.46
_cell_angle_beta 90.00
_cell_angle_gamma 90.00
loop_
_atom_site_label
_atom_site_type_symbol
_atom_site_fract_x
_atom_site_fract_y
_atom_site_fract_z
Pa1 Pa 0.250 0.674 0.117
Pa2 Pa 0.750 0.326 0.883
N1 N 0.750 0.445 0.094
N2 N 0.750 0.145 0.466
N3 N 0.750 0.852 0.217
N4 N 0.250 0.855 0.534
N5 N 0.250 0.148 0.783
N6 N 0.250 0.555 0.906
Ba1 Ba 0.750 0.792 0.759
Ba2 Ba 0.250 0.208 0.241
Hf1 Hf 0.250 0.163 0.582
Hf2 Hf 0.750 0.837 0.418



# Ba3HfPa3N8 (PBE, relaxed)
# E_tot ... -130.5 eV for the cell shown
# ΔE_f (raw) ... -1.3149 eV/atom
data_Ba3HfPa3N8
_chemical_formula_sum 'Ba3 Hf1 Pa3 N8'
_space_group_name_H-M_alt 'P 1'
_space_group_IT_number 1
_space_group_name_Hall 'P 1'
_cell_length_a 7.069
_cell_length_b 7.070
_cell_length_c 7.651
_cell_angle_alpha 117.53
_cell_angle_beta 90.00
_cell_angle_gamma 119.99
loop_
_atom_site_label
_atom_site_type_symbol
_atom_site_fract_x
_atom_site_fract_y
_atom_site_fract_z
N1 N 0.272 0.054 0.336
N2 N 0.727 0.453 0.680
N3 N 0.728 0.946 0.664
N4 N 0.218 0.436 0.664
N5 N 0.782 0.054 0.336
N6 N 0.218 0.946 0.664
N7 N 0.273 0.547 0.320
N8 N 0.782 0.564 0.336
Hf1 Hf 0.000 0.000 0.500
Ba1 Ba 0.500 0.500 0.000
Ba2 Ba 0.000 0.000 0.000
Ba3 Ba 0.000 0.500 0.000
Pa1 Pa 0.000 0.500 0.500
Pa2 Pa 0.500 0.500 0.500
Pa3 Pa 0.500 0.000 0.500



# Ba2HfPaN4 (PBE, relaxed)
# E_tot ... -66.5 eV for the cell shown
# ΔE_f (raw) ... -1.2323 eV/atom
data_Ba2HfPaN4
_chemical_formula_sum 'Ba2 Hf1 Pa1 N4'
_space_group_name_H-M_alt 'P 1'
_space_group_IT_number 1
_space_group_name_Hall 'P 1'
_cell_length_a 3.536
_cell_length_b 6.032
_cell_length_c 6.738
_cell_angle_alpha 107.22
_cell_angle_beta 90.00
_cell_angle_gamma 90.00
loop_
_atom_site_label
_atom_site_type_symbol
_atom_site_fract_x
_atom_site_fract_y
_atom_site_fract_z
Ba1 Ba 0.500 0.000 0.500
Ba2 Ba 0.000 0.500 0.500
Hf1 Hf 0.000 0.000 0.000
N1 N 0.500 0.222 0.175
N2 N 0.000 0.268 0.827
N3 N 0.500 0.778 0.825
N4 N 0.000 0.732 0.173
Pa1 Pa 0.500 0.500 0.000



# BaHfPbN2 (PBE, relaxed)
# E_tot ... -21.3 eV for the cell shown
# ΔE_f (raw) ... 2.1823 eV/atom
data_BaHfPbN2
_chemical_formula_sum 'Ba1 Hf1 Pb1 N2'
_space_group_name_H-M_alt 'P 1'
_space_group_IT_number 1
_space_group_name_Hall 'P 1'
_cell_length_a 4.758
_cell_length_b 4.758
_cell_length_c 6.115
_cell_angle_alpha 90.00
_cell_angle_beta 90.00
_cell_angle_gamma 90.00
loop_
_atom_site_label
_atom_site_type_symbol
_atom_site_fract_x
_atom_site_fract_y
_atom_site_fract_z
Hf1 Hf 0.500 0.500 0.500
Ba1 Ba 0.000 0.000 0.500
N1 N 0.000 0.500 0.000
N2 N 0.500 0.000 0.000
Pb1 Pb 0.000 0.000 0.000